Record 1
Compound: LaTbAsP
Source: Alexandria via LeMat-Bulk
Functional: PBE-GGA
Structure: optimized geometry

Cell: 4.225 4.225 5.930 Å, 90.00 90.00 90.00°
Positions (direct):
P  0.000  0.891  0.092
Tb  0.500  0.391  0.092
La  0.000  0.892  0.592
As  0.500  0.392  0.593

Calculated values
- crystal system = tetragonal
- symmetry = P4/mmm, No. 123
- ΔE_f (kcal/mol of atoms) = -35.1
- V (Å³ per cell) = 106
- raw total energy (eV per cell) = -25.7



Record 2
Compound: La6TeAs3P2
Source: Alexandria via LeMat-Bulk
Functional: PBE-GGA
Structure: optimized geometry

Cell: 4.370 8.785 9.768 Å, 102.73 102.92 90.00°
Positions (direct):
La  0.997  0.733  0.994
La  0.673  0.093  0.347
La  0.327  0.907  0.653
La  0.331  0.420  0.662
La  0.669  0.580  0.338
La  0.003  0.267  0.006
As  0.164  0.833  0.328
As  0.836  0.167  0.672
As  0.500  0.500  0.000
P  0.833  0.666  0.665
P  0.167  0.334  0.335
Te  0.500  0.000  0.000

Calculated values
- formation energy from raw total energies (eV/atom) = -1.601
- crystal system = monoclinic
- symmetry = C2/m, No. 12
- V (Å³ per cell) = 356
- raw total energy (eV per cell) = -76.7